## Np2PaSe4 (PBE)

Data for an optimized crystal structure of Np2PaSe4.

Summary:
excess energy over the best structure of this formula in the dataset: 0 meV per atom
total magnetic moment: 10.97 μB per formula unit
SG: I-42d (122)
volume: 330 Å³/cell

Lattice parameters (Å, degrees): 7.5379 7.5379 7.5379 109.44 109.44 109.53
Closest atoms and distances in Å follow each position.
Sites, in units of the cell vectors:
Np 0.3750 0.0005 0.1255  8 Se 2.94-3.09
Np 0.7505 0.6250 0.6255  8 Se 2.94-3.09
Np 0.8750 0.2495 0.8745  8 Se 2.94-3.09
Np 0.9995 0.1250 0.3745  8 Se 2.94-3.09
Pa 0.2500 0.7500 0.5000  8 Se 2.94-3.08
Pa 0.5000 0.5000 0.0000  8 Se 2.94-3.08
Se 0.1258 0.0263 0.7502  2 Pa 2.94-3.08, 4 Np 2.94-3.09
Se 0.1256 0.5262 0.7498  2 Pa 2.94-3.08, 4 Np 2.94-3.09
Se 0.2762 0.3756 0.2498  2 Pa 2.94-3.08, 4 Np 2.94-3.09
Se 0.4738 0.2237 0.5994  2 Pa 2.94-3.08, 4 Np 2.94-3.09
Se 0.6242 0.8744 0.4006  2 Pa 2.94-3.08, 4 Np 2.94-3.09
Se 0.6244 0.8742 0.9006  2 Pa 2.94-3.08, 4 Np 2.94-3.09
Se 0.7763 0.3758 0.2502  2 Pa 2.94-3.08, 4 Np 2.94-3.09
Se 0.9737 0.7238 0.0994  2 Pa 2.94-3.08, 4 Np 2.94-3.09

## InAu (PBE)

Data for an optimized crystal structure of InAu.

Summary:
formation enthalpy at 0 K: 110 meV per atom
total magnetic moment: 0.00 μB per formula unit
SG: Pm-3n (223)
volume: 466 Å³/cell

Lattice parameters (Å, degrees): 7.7544 7.7544 7.7544 90.00 90.00 90.00
Closest atoms and distances in Å follow each position.
Sites, in units of the cell vectors:
In 0.0000 0.2500 0.5000  4 Au 2.74
In 0.0000 0.7500 0.5000  4 Au 2.74
In 0.2500 0.5000 0.0000  4 Au 2.74
In 0.5000 0.0000 0.2500  4 Au 2.74
In 0.5000 0.0000 0.7500  4 Au 2.74
In 0.7500 0.5000 0.0000  4 Au 2.74
Au 0.0000 0.5000 0.2500  4 In 2.74
Au 0.0000 0.5000 0.7500  4 In 2.74
Au 0.2500 0.0000 0.5000  4 In 2.74
Au 0.5000 0.2500 0.0000  4 In 2.74
Au 0.5000 0.7500 0.0000  4 In 2.74
Au 0.7500 0.0000 0.5000  4 In 2.74

## Tl3SnCl6 (PBE)

Data for an optimized crystal structure of Tl3SnCl6.

Summary:
excess energy over the best structure of this formula in the dataset: 0 meV per atom
total magnetic moment: 0.00 μB per formula unit
SG: P2_1/c (14)
volume: 660 Å³/cell

Lattice parameters (Å, degrees): 7.4490 8.1188 13.0658 90.00 123.35 90.00
Closest atoms and distances in Å follow each position.
Sites, in units of the cell vectors:
Tl 0.0000 0.0000 0.0000  6 Cl 3.11-3.16
Tl 0.0000 0.5000 0.5000  6 Cl 3.11-3.16
Tl 0.2154 0.0727 0.7437  5 Cl 3.21-3.43
Tl 0.2154 0.4273 0.2437  5 Cl 3.21-3.43
Tl 0.7846 0.5727 0.7563  5 Cl 3.21-3.43
Tl 0.7846 0.9273 0.2563  5 Cl 3.21-3.43
Sn 0.5000 0.0000 0.5000  6 Cl 2.65-2.66
Sn 0.5000 0.5000 0.0000  6 Cl 2.65-2.66
Cl 0.1611 0.1731 0.4532  1 Sn 2.65
Cl 0.1611 0.3269 0.9532  1 Sn 2.65
Cl 0.2661 0.7253 0.4317  1 Sn 2.66
Cl 0.2661 0.7747 0.9317  1 Sn 2.66
Cl 0.3901 0.0488 0.2714  1 Sn 2.66
Cl 0.3901 0.4512 0.7714  1 Sn 2.66
Cl 0.6099 0.5488 0.2286  1 Sn 2.66
Cl 0.6099 0.9512 0.7286  1 Sn 2.66
Cl 0.7339 0.2253 0.0683  1 Sn 2.66
Cl 0.7339 0.2747 0.5683  1 Sn 2.66
Cl 0.8389 0.6731 0.0468  1 Sn 2.65
Cl 0.8389 0.8269 0.5468  1 Sn 2.65